The following is a PBEsol calculation of an optimized crystal structure of GaAgH2, from the Alexandria database.

Unit cell a=3.935 b=3.935 c=3.935 alpha=60.00 beta=60.00 gamma=60.00
Sites, in units of the cell vectors:
H1 0.750 0.750 0.750
H2 0.250 0.250 0.250
Ga1 0.000 0.000 0.000
Ag1 0.500 0.500 0.500

Summary:
Magnetization (μB per formula unit): 0.0
Uncorrected energy (eV per formula unit): -10.5
Crystal system: cubic
Space group: Fm-3m (225)